Entry 1:
# PmPr4Nd3Se8 PBE relaxed
# **DOS(E_F)**: 11.27 states/eV/f.u.
# **Uncorrected energy**: -5.964 eV per atom
# **Crystal system**: trigonal
# **E_form (uncorrected)**: -1.836 eV per atom
# **V**: 1298.6 Å³ per cell
data_PmPr4Nd3Se8
_chemical_formula_sum 'Pm3 Pr12 Nd9 Se24'
_space_group_name_H-M_alt 'R -3 m'
_space_group_IT_number 166
_space_group_name_Hall '-R 3 2"'
_cell_length_a 8.4842
_cell_length_b 8.4842
_cell_length_c 20.8336
_cell_angle_alpha 90.00
_cell_angle_beta 90.00
_cell_angle_gamma 120.00
loop_
_atom_site_label
_atom_site_type_symbol
_atom_site_fract_x
_atom_site_fract_y
_atom_site_fract_z
_atom_site_occupancy
Pm1 Pm 0.0000 0.0000 0.0000 1
Pr1 Pr 0.0000 0.0000 0.5000 1
Pr2 Pr 0.0000 0.5000 0.5000 1
Nd1 Nd 0.0000 0.5000 0.0000 1
Se1 Se 0.0000 0.0000 0.2511 1
Se2 Se 0.0015 0.5007 0.7486 1

Entry 2:
# AsOs PBE relaxed
# **DOS(E_F)**: 2.17 states/eV/f.u.
# **Uncorrected energy**: -7.653 eV per atom
# **Crystal system**: tetragonal
# **Energy relative to the elements**: 0.29 eV per atom
# **V**: 89.2 Å³ per cell
data_AsOs
_chemical_formula_sum 'As2 Os2'
_space_group_name_H-M_alt 'P 4/n m m'
_space_group_IT_number 129
_cell_length_a 3.817
_cell_length_b 3.817
_cell_length_c 6.118
_cell_angle_alpha 90.00
_cell_angle_beta 90.00
_cell_angle_gamma 90.00
loop_
_space_group_symop_operation_xyz
'x,y,z'
'-x,-y,-z'
'-y+1/2,x,z'
'y+1/2,-x,-z'
'-x+1/2,-y+1/2,z'
'x+1/2,y+1/2,-z'
'y,-x+1/2,z'
'-y,x+1/2,-z'
'x+1/2,-y,-z'
'-x+1/2,y,z'
'-y,-x,-z'
'y,x,z'
'-x,y+1/2,-z'
'x,-y+1/2,z'
'y+1/2,x+1/2,-z'
'-y+1/2,-x+1/2,z'
loop_
_atom_site_label
_atom_site_type_symbol
_atom_site_fract_x
_atom_site_fract_y
_atom_site_fract_z
_atom_site_occupancy
As1 As 0.250 0.250 0.233 1
Os1 Os 0.250 0.750 0.500 1

Entry 3:
# LaTb2Er3Te6 PBE relaxed
# **DOS(E_F)**: 6.67 states/eV/f.u.
# **Uncorrected energy**: -5.202 eV per atom
# **Crystal system**: monoclinic
# **E_form (uncorrected)**: -1.308 eV per atom
# **V**: 713.9 Å³ per cell
data_LaTb2Er3Te6
_chemical_formula_sum 'La2 Tb4 Er6 Te12'
_space_group_name_H-M_alt 'C 1 2/m 1'
_space_group_IT_number 12
_cell_length_a 19.161
_cell_length_b 4.353
_cell_length_c 8.828
_cell_angle_alpha 90.00
_cell_angle_beta 104.15
_cell_angle_gamma 90.00
loop_
_space_group_symop_operation_xyz
'x,y,z'
'-x,-y,-z'
'-x,y,-z'
'x,-y,z'
'x+1/2,y+1/2,z'
'-x+1/2,-y+1/2,-z'
'-x+1/2,y+1/2,-z'
'x+1/2,-y+1/2,z'
loop_
_atom_site_label
_atom_site_type_symbol
_atom_site_fract_x
_atom_site_fract_y
_atom_site_fract_z
_atom_site_occupancy
La1 La 0.000 0.000 0.000 1
Tb1 Tb 0.166 0.500 0.331 1
Er1 Er 0.000 0.000 0.500 1
Er2 Er 0.162 0.500 0.831 1
Te1 Te 0.001 0.500 0.264 1
Te2 Te 0.166 0.000 0.586 1
Te3 Te 0.173 0.000 0.083 1

Entry 4:
# Rb2AlTl2 PBE relaxed
# **DOS(E_F)**: 3.27 states/eV/f.u.
# **Uncorrected energy**: -1.957 eV per atom
# **Crystal system**: tetragonal
# **Energy relative to the elements**: 0.13 eV per atom
# **V**: 380.6 Å³ per cell
data_Rb2AlTl2
_chemical_formula_sum 'Rb4 Al2 Tl4'
_space_group_name_H-M_alt 'P 4/m b m'
_space_group_IT_number 127
_space_group_name_Hall '-P 4 2ab'
_cell_length_a 7.766
_cell_length_b 7.766
_cell_length_c 6.312
_cell_angle_alpha 90.00
_cell_angle_beta 90.00
_cell_angle_gamma 90.00
loop_
_atom_site_label
_atom_site_type_symbol
_atom_site_fract_x
_atom_site_fract_y
_atom_site_fract_z
_atom_site_occupancy
Rb1 Rb 0.179 0.321 0.000 1
Al1 Al 0.000 0.000 0.500 1
Tl1 Tl 0.145 0.645 0.500 1

Entry 5:
# Tm2Ga3Co5C2 PBE relaxed
# **DOS(E_F)**: 7.41 states/eV/f.u.
# **Uncorrected energy**: -6.269 eV per atom
# **Crystal system**: tetragonal
# **Energy relative to the elements**: -0.27 eV per atom
# **V**: 321.3 Å³ per cell
data_Tm2Ga3Co5C2
_chemical_formula_sum 'Tm4 Ga6 Co10 C4'
_space_group_name_H-M_alt 'I 4/m m m'
_space_group_IT_number 139
_space_group_name_Hall '-I 4 2'
_cell_length_a 3.842
_cell_length_b 3.842
_cell_length_c 21.760
_cell_angle_alpha 90.00
_cell_angle_beta 90.00
_cell_angle_gamma 90.00
loop_
_atom_site_label
_atom_site_type_symbol
_atom_site_fract_x
_atom_site_fract_y
_atom_site_fract_z
_atom_site_occupancy
Tm1 Tm 0.000 0.000 0.199 1
Ga1 Ga 0.000 0.000 0.343 1
Ga2 Ga 0.000 0.000 0.500 1
Co1 Co 0.000 0.000 0.000 1
Co2 Co 0.000 0.500 0.083 1
C1 C 0.000 0.000 0.087 1

Entry 6:
# Al3Co2Ir PBE relaxed
# **DOS(E_F)**: 2.14 states/eV/f.u.
# **Uncorrected energy**: -6.434 eV per atom
# **Crystal system**: tetragonal
# **Energy relative to the elements**: -0.72 eV per atom
# **V**: 74.2 Å³ per cell
data_Al3Co2Ir
_chemical_formula_sum 'Al3 Co2 Ir1'
_space_group_name_H-M_alt 'P 4/m m m'
_space_group_IT_number 123
_space_group_name_Hall '-P 4 2'
_cell_length_a 2.923
_cell_length_b 2.923
_cell_length_c 8.686
_cell_angle_alpha 90.00
_cell_angle_beta 90.00
_cell_angle_gamma 90.00
loop_
_atom_site_label
_atom_site_type_symbol
_atom_site_fract_x
_atom_site_fract_y
_atom_site_fract_z
_atom_site_occupancy
Al1 Al 0.000 0.000 0.000 1
Al2 Al 0.000 0.000 0.320 1
Co1 Co 0.500 0.500 0.161 1
Ir1 Ir 0.500 0.500 0.500 1

Entry 7:
# DyZrAlRh PBE relaxed
# **DOS(E_F)**: 3.03 states/eV/f.u.
# **Uncorrected energy**: -6.523 eV per atom
# **Crystal system**: cubic
# **Energy relative to the elements**: -0.46 eV per atom
# **V**: 325.1 Å³ per cell
data_DyZrAlRh
_chemical_formula_sum 'Dy4 Zr4 Al4 Rh4'
_space_group_name_H-M_alt 'F -4 3 m'
_space_group_IT_number 216
_space_group_name_Hall 'F -4 2 3'
_cell_length_a 6.876
_cell_length_b 6.876
_cell_length_c 6.876
_cell_angle_alpha 90.00
_cell_angle_beta 90.00
_cell_angle_gamma 90.00
loop_
_atom_site_label
_atom_site_type_symbol
_atom_site_fract_x
_atom_site_fract_y
_atom_site_fract_z
_atom_site_occupancy
Dy1 Dy 0.000 0.000 0.000 1
Zr1 Zr 0.000 0.000 0.500 1
Al1 Al 0.250 0.250 0.750 1
Rh1 Rh 0.250 0.250 0.250 1

Entry 8:
# CsRb2HgP PBE relaxed
# **DOS(E_F)**: 3.22 states/eV/f.u.
# **Uncorrected energy**: -1.765 eV per atom
# **Crystal system**: tetragonal
# **Energy relative to the elements**: -0.07 eV per atom
# **V**: 309.6 Å³ per cell
data_CsRb2HgP
_chemical_formula_sum 'Cs1 Rb2 Hg1 P1'
_space_group_name_H-M_alt 'P 4/m m m'
_space_group_IT_number 123
_space_group_name_Hall '-P 4 2'
_cell_length_a 6.684
_cell_length_b 6.684
_cell_length_c 6.930
_cell_angle_alpha 90.00
_cell_angle_beta 90.00
_cell_angle_gamma 90.00
loop_
_atom_site_label
_atom_site_type_symbol
_atom_site_fract_x
_atom_site_fract_y
_atom_site_fract_z
_atom_site_occupancy
Cs1 Cs 0.000 0.000 0.000 1
Rb1 Rb 0.000 0.500 0.500 1
Hg1 Hg 0.500 0.500 0.000 1
P1 P 0.000 0.000 0.500 1